The following is a GGA-PBE calculation of an optimized crystal structure of LiLaFe2, from Alexandria via LeMat-Bulk.

Cell lengths 5.4058, 5.4058, 5.4058 Å; angles 142.14, 129.25, 65.02 degrees
Closest atoms and distances in Å follow each position.
Sites, in units of the cell vectors:
Fe1 0.7914 0.2914 0.5000  2 Fe 2.32
La1 0.5175 0.5175 0.0000  8 Fe 2.95-3.10, 4 Li 3.04-3.13
Fe2 0.9585 0.9585 0.0000  2 Fe 2.32
Li1 0.2327 0.7327 0.5000  8 Fe 2.95-3.10, 4 La 3.04-3.13

## Properties
* energy relative to the lowest polymorph listed for this composition: 0.100 eV per atom
* crystal system: orthorhombic
* energy relative to the elements: 312 meV/atom